Entry from the Alexandria database: a geometry-optimized La3PmEr3 structure (PBE).

Its density of states at the Fermi level is 19.14 states/eV/cell. Its space group is R-3 (148). The total magnetization is 0.00 μB per formula unit. The formation energy comes out at 0.133 eV per atom. For the raw total energy, the calculation gives -64.58 eV per cell. Its energy above the most stable polymorph in this dataset is 95 meV/atom.

```
La3PmEr3
1.0
4.738 2.735 6.266
-4.738 2.735 6.266
0.000 -5.471 6.266
La Pm Er
6 2 6
direct
0.127 0.270 0.835
0.165 0.873 0.730
0.270 0.835 0.127
0.730 0.165 0.873
0.835 0.127 0.270
0.873 0.730 0.165
0.409 0.409 0.409
0.591 0.591 0.591
0.026 0.311 0.446
0.311 0.446 0.026
0.446 0.026 0.311
0.554 0.974 0.689
0.689 0.554 0.974
0.974 0.689 0.554
```